# Ac2PaTl3Te6

A geometry-optimized Ac2PaTl3Te6 structure (GGA-PBE, Alexandria via LeMat-Bulk).

a b c (Å): 8.113 14.035 8.649
angles (deg): 90.00 108.20 90.00
Space group C2/m (No. 12)
One atom of each set of equivalent atoms:
1 Ac 0.000 0.166 0.000
2 Pa 0.000 0.500 0.000
3 Tl 0.000 0.000 0.500
4 Tl 0.000 0.330 0.500
5 Te 0.232 0.342 0.224
6 Te 0.238 0.500 0.772

Properties
* formation energy without anion corrections: -0.931 eV/atom
* total magnetic moment: 2.03 μB per formula unit